3
Lattice="-1.8475 -4.0912 -0.9780 2.1993 -2.9034 -2.8001 1.8854 -3.8346 1.6879" Properties=species:S:1:pos:R:3 comment="BaRe2 (PBE, optimized geometry)" e_form_ev_per_fu=9.45 polymorph_energy_mev_per_atom=2481 energy_ev_per_atom=-5.7912 sg="Fm-3m (225)" pbc="T T T"
Re 0.5593 -2.7073 -0.5226
Re 1.6780 -8.1219 -1.5677
Ba 0.0000 0.0000 0.0000